{"formula": "Pm5Ru2O12", "functional": "GGA-PBE", "state": "optimized geometry", "e_form_raw_ev_per_fu": -50.1, "final_energy_ev_per_cell": -151.9, "sg": "No. 12", "magmom_total_mub_per_fu": 5.01, "density_g_cm3": 6.75, "n_ef_per_ev_cell": 0.7, "lattice_angstrom": [[6.3589, -2.9794, 0.0000], [6.3589, 2.9794, 0.0000], [-2.2921, 0.0000, 7.2667]], "species": ["Pm", "Pm", "Pm", "Pm", "Pm", "Ru", "Ru", "O", "O", "O", "O", "O", "O", "O", "O", "O", "O", "O", "O"], "frac_coords": [[0.0000, 0.0000, 0.0000], [0.3051, 0.3051, 0.1417], [0.3097, 0.3097, 0.6692], [0.6903, 0.6903, 0.3308], [0.6949, 0.6949, 0.8583], [0.2351, 0.7649, 0.5000], [0.7649, 0.2351, 0.5000], [0.0005, 0.0005, 0.6886], [0.0953, 0.5825, 0.4198], [0.0963, 0.5949, 0.9235], [0.4051, 0.9037, 0.0765], [0.4175, 0.9047, 0.5802], [0.4998, 0.4998, 0.3247], [0.5002, 0.5002, 0.6753], [0.5825, 0.0953, 0.4198], [0.5949, 0.0963, 0.9235], [0.9037, 0.4051, 0.0765], [0.9047, 0.4175, 0.5802], [0.9995, 0.9995, 0.3114]]}

***

{"formula": "PmRu2O6", "functional": "GGA-PBE", "state": "optimized geometry", "e_form_raw_ev_per_fu": -14.4, "final_energy_ev_per_cell": -67.4, "sg": "No. 162", "magmom_total_mub_per_fu": 5.06, "density_g_cm3": 6.12, "n_ef_per_ev_cell": 3.6, "lattice_angstrom": [[5.2523, 0.0000, 0.0000], [-2.6261, 4.5486, 0.0000], [0.0000, 0.0000, 5.0348]], "species": ["Pm", "Ru", "Ru", "O", "O", "O", "O", "O", "O"], "frac_coords": [[0.0000, 0.0000, 0.0000], [0.3333, 0.6667, 0.5000], [0.6667, 0.3333, 0.5000], [0.0000, 0.3595, 0.7128], [0.0000, 0.6405, 0.2872], [0.3595, 0.0000, 0.7128], [0.3595, 0.3595, 0.2872], [0.6405, 0.0000, 0.2872], [0.6405, 0.6405, 0.7128]]}

***

{"formula": "PmRuO3", "functional": "GGA-PBE", "state": "optimized geometry", "e_form_raw_ev_per_fu": -8.8, "final_energy_ev_per_cell": -37.7, "sg": "No. 221", "magmom_total_mub_per_fu": 0.91, "density_g_cm3": 7.84, "n_ef_per_ev_cell": 2.7, "lattice_angstrom": [[3.9638, 0.0000, 0.0000], [0.0000, 3.9638, 0.0000], [0.0000, 0.0000, 3.9638]], "species": ["Pm", "Ru", "O", "O", "O"], "frac_coords": [[0.0000, 0.0000, 0.0000], [0.5000, 0.5000, 0.5000], [0.0000, 0.5000, 0.5000], [0.5000, 0.0000, 0.5000], [0.5000, 0.5000, 0.0000]]}